[1]
VASP calculation (PBE-GGA) on an optimized crystal structure of Tm8GaTe2.

a b c (Å): 9.630 7.311 7.311
angles (deg): 49.99 121.97 121.97
Positions (direct):
Tm 0.417 0.315 0.315
Tm 0.184 0.663 0.156
Tm 0.583 0.685 0.685
Tm 0.816 0.844 0.337
Tm 0.840 0.367 0.367
Tm 0.160 0.633 0.633
Tm 0.184 0.156 0.663
Tm 0.816 0.337 0.844
Te 0.500 0.871 0.871
Te 0.500 0.129 0.129
Ga 0.000 0.000 0.000

Calculated values
- Spin magnetization: 0.00 μB/atom
- Raw formation energy: -0.297 eV/atom
- Total energy: -4.396 eV per atom



[2]
VASP calculation (PBE-GGA) on an optimized crystal structure of NdDy4S6.

a b c (Å): 3.874 6.726 19.912
angles (deg): 90.00 90.00 106.74
Positions (direct):
Dy 0.592 0.184 0.873
Dy 0.139 0.277 0.040
Dy 0.861 0.723 0.540
Dy 0.861 0.723 0.960
Dy 0.408 0.816 0.373
Dy 0.408 0.816 0.127
Dy 0.592 0.184 0.627
Dy 0.139 0.277 0.460
S 0.500 0.000 0.000
S 0.048 0.095 0.165
S 0.500 0.000 0.500
S 0.952 0.905 0.835
S 0.231 0.463 0.911
S 0.048 0.095 0.335
S 0.686 0.371 0.750
S 0.231 0.463 0.589
S 0.314 0.629 0.250
S 0.769 0.537 0.089
S 0.952 0.905 0.665
S 0.769 0.537 0.411
Nd 0.347 0.693 0.750
Nd 0.653 0.307 0.250

Calculated values
- Spin magnetization: 0.00 μB/atom
- Raw formation energy: -2.048 eV/atom
- Total energy: -6.406 eV per atom



[3]
VASP calculation (PBE-GGA) on an optimized crystal structure of PrGd2Ru.

a b c (Å): 4.743 4.743 6.177
angles (deg): 67.42 67.42 60.00
Site moments in Bohr magnetons follow the coordinates.
Positions (direct):
Pr 0.500 0.500 0.500  0.08
Gd 0.276 0.276 0.172  7.08
Gd 0.724 0.724 0.828  7.08
Ru 0.000 0.000 0.000  -0.21

Calculated values
- Spin magnetization: 3.59 μB/atom
- Total energy: -10.505 eV per atom
- Energy of formation: 4.73 kJ per mole of atoms